Compound: CsBe2CuF8
Source: Alexandria via LeMat-Bulk
Functional: GGA-PBE
Structure: optimized geometry

Unit cell a=4.9103 b=4.9103 c=9.0152 alpha=74.20 beta=74.20 gamma=60.00
Closest atoms and distances in Å follow each position.
Positions (direct):
F1 0.7896 0.7896 0.6312  1 Be 1.51
F2 0.3850 0.7551 0.8671  1 Be 1.59
F3 0.2449 0.0072 0.1329  1 Be 1.59
F4 0.9928 0.3850 0.8671  1 Be 1.59
F5 0.2104 0.2104 0.3688  1 Be 1.51
F6 0.0072 0.6150 0.1329  1 Be 1.59
F7 0.6150 0.2449 0.1329  1 Be 1.59
F8 0.7551 0.9928 0.8671  1 Be 1.59
Cs1 0.5000 0.5000 0.5000  6 F 3.05
Be1 0.7309 0.7309 0.8072  4 F 1.51-1.59
Be2 0.2691 0.2691 0.1928  4 F 1.51-1.59
Cu1 0.0000 0.0000 0.0000  6 F 1.93

Computed properties:
Magnetic moment, μB/f.u.: 1.858
Crystal system: trigonal
Formation energy without anion corrections, eV per atom: -2.576
Density, g cm⁻³: 3.41